Entry 1:
# NpNiGeO6

An optimized crystal structure of NpNiGeO6 (PBE+U, Alexandria).

Computed properties:
density of states at the Fermi level: 1.06 states/eV per cell
total DFT energy (no corrections): -7.40 eV per atom

abc: 5.1961 5.1961 8.9876
angles: 90.00 90.00 120.00
Space group P-31c (No. 163)
Inequivalent atoms, fractional coordinates:
Np 0.3333 0.6667 0.2500 (multiplicity 2)
Ni 0.0000 0.0000 0.0000 (multiplicity 2)
Ge 0.3333 0.6667 0.7500 (multiplicity 2)
O 0.0220 0.3548 0.6318 (multiplicity 12)


Entry 2:
# NpNi2GeO6

An optimized crystal structure of NpNi2GeO6 (PBE+U, Alexandria).

Computed properties:
density of states at the Fermi level: 1.67 states/eV per cell
total DFT energy (no corrections): -6.66 eV per atom

abc: 5.757 5.757 4.025
angles: 90.00 90.00 90.00
Space group P4mm (No. 99)
Inequivalent atoms, fractional coordinates:
Np 0.000 0.000 0.000 (multiplicity 1)
Ni 0.000 0.500 0.087 (multiplicity 2)
Ge 0.500 0.500 0.944 (multiplicity 1)
O 0.000 0.000 0.506 (multiplicity 1)
O 0.263 0.263 0.027 (multiplicity 4)
O 0.500 0.500 0.508 (multiplicity 1)